The following is a PBE calculation of a relaxed structure of CdOsPb2, from the Alexandria database.

For the density of states at the Fermi level, the calculation gives 0.58 states/eV/atom. As for the uncorrected energy: -4.26 eV per atom.

Lattice parameters (Å, degrees): 3.5670 4.8506 5.5640 90.00 108.61 90.00
Atoms (fractional coordinates):
Cd  0.0000  0.0000  0.0000
Os  0.1404  0.5000  0.2817
Pb  0.4199  0.5000  0.8388
Pb  0.7254  0.0000  0.4523